Entry 1:
A geometry-optimized BaTePt structure, computed with PBE-GGA.

Geometry as POSCAR:
```
BaTePt
1.0
5.704 0.000 0.000
0.000 4.704 0.000
0.000 0.000 7.143
Ba Te Pt
2 2 2
direct
0.250 0.000 0.240
0.750 0.000 0.760
0.250 0.500 0.812
0.750 0.500 0.188
0.000 0.500 0.500
0.500 0.500 0.500
```

Computed properties:
energy relative to the elements, uncorrected = -1.12 eV/atom
E = -4.824 eV/atom
symmetry = Pmma, No. 51

---

Entry 2:
A geometry-optimized BaTePt structure, computed with PBE-GGA.

Geometry as POSCAR:
```
BaTePt
1.0
4.695 0.000 0.000
-2.348 4.066 0.000
0.000 0.000 4.691
Ba Te Pt
1 1 1
direct
0.000 0.000 0.000
0.667 0.333 0.500
0.333 0.667 0.500
```

Computed properties:
energy relative to the elements, uncorrected = -1.13 eV/atom
E = -4.828 eV/atom
symmetry = P-6m2, No. 187

---

Entry 3:
A geometry-optimized BaTe2Pt structure, computed with PBE-GGA.

Geometry as POSCAR:
```
BaTe2Pt
1.0
4.137 0.000 0.000
0.000 4.137 0.000
0.000 0.000 7.309
Ba Te Pt
1 2 1
direct
0.000 0.000 0.000
0.000 0.000 0.462
0.500 0.500 0.783
0.500 0.500 0.419
```

Computed properties:
energy relative to the elements, uncorrected = -0.55 eV/atom
E = -4.108 eV/atom
symmetry = P4mm, No. 99

---

Entry 4:
A geometry-optimized BaTe2Pt structure, computed with PBE-GGA.

Geometry as POSCAR:
```
BaTe2Pt
1.0
2.061 1.190 9.717
-2.061 1.190 9.717
0.000 -2.379 9.717
Ba Te Pt
1 2 1
direct
0.000 0.000 0.000
0.120 0.120 0.120
0.880 0.880 0.880
0.500 0.500 0.500
```

Computed properties:
energy relative to the elements, uncorrected = -0.36 eV/atom
E = -3.924 eV/atom
symmetry = R-3m, No. 166

---

Entry 5:
A geometry-optimized BaTePt structure, computed with PBE-GGA.

Geometry as POSCAR:
```
BaTePt
1.0
-2.284 2.284 4.861
2.284 -2.284 4.861
2.284 2.284 -4.861
Ba Te Pt
1 1 1
direct
0.000 0.000 0.000
0.345 0.345 0.000
0.606 0.606 0.000
```

Computed properties:
energy relative to the elements, uncorrected = -0.61 eV/atom
E = -4.307 eV/atom
symmetry = I4mm, No. 107

---

Entry 6:
A geometry-optimized BaTe2Pt structure, computed with PBE-GGA.

Geometry as POSCAR:
```
BaTe2Pt
1.0
-2.272 2.272 5.746
2.272 -2.272 5.746
2.272 2.272 -5.746
Ba Te Pt
1 2 1
direct
0.000 0.000 0.000
0.250 0.750 0.500
0.750 0.250 0.500
0.500 0.500 0.000
```

Computed properties:
energy relative to the elements, uncorrected = -0.26 eV/atom
E = -3.823 eV/atom
symmetry = I4/mmm, No. 139

---

Entry 7:
A geometry-optimized BaTePt structure, computed with PBE-GGA.

Geometry as POSCAR:
```
BaTePt
1.0
3.325 -3.327 0.000
3.325 3.327 0.000
-3.321 0.000 8.090
Ba Te Pt
2 2 2
direct
0.125 0.875 0.500
0.875 0.125 0.000
0.291 0.541 0.831
0.541 0.291 0.331
0.460 0.711 0.169
0.711 0.460 0.669
```

Computed properties:
energy relative to the elements, uncorrected = -1.11 eV/atom
E = -4.813 eV/atom
symmetry = Cc, No. 9

---

Entry 8:
A geometry-optimized BaTePt structure, computed with PBE-GGA.

Geometry as POSCAR:
```
BaTePt
1.0
2.128 -5.464 0.000
2.128 5.464 0.000
0.000 0.000 7.559
Ba Te Pt
2 2 2
direct
0.214 0.786 0.750
0.786 0.214 0.250
0.500 0.500 0.000
0.500 0.500 0.500
0.068 0.932 0.250
0.932 0.068 0.750
```

Computed properties:
energy relative to the elements, uncorrected = -0.82 eV/atom
E = -4.522 eV/atom
symmetry = Cmcm, No. 63

---

Entry 9:
A geometry-optimized BaTePt structure, computed with PBE-GGA.

Geometry as POSCAR:
```
BaTePt
1.0
5.193 0.000 0.000
0.000 5.193 0.000
0.000 0.000 6.824
Ba Te Pt
2 2 2
direct
0.250 0.250 0.151
0.750 0.750 0.849
0.250 0.750 0.500
0.750 0.250 0.500
0.250 0.250 0.661
0.750 0.750 0.339
```

Computed properties:
energy relative to the elements, uncorrected = -0.64 eV/atom
E = -4.341 eV/atom
symmetry = P4/nmm, No. 129

---

Entry 10:
A geometry-optimized Ba4TePt structure, computed with PBE-GGA.

Geometry as POSCAR:
```
Ba4TePt
1.0
0.000 4.926 4.926
4.926 0.000 4.926
4.926 4.926 0.000
Ba Te Pt
4 1 1
direct
0.125 0.125 0.125
0.125 0.125 0.625
0.125 0.625 0.125
0.625 0.125 0.125
0.500 0.500 0.500
0.750 0.750 0.750
```

Computed properties:
energy relative to the elements, uncorrected = 0.15 eV/atom
E = -2.660 eV/atom
symmetry = F-43m, No. 216

---

Entry 11:
A geometry-optimized BaTePt structure, computed with PBE-GGA.

Geometry as POSCAR:
```
BaTePt
1.0
10.123 0.000 0.000
0.000 4.250 0.000
0.000 0.000 9.268
Ba Te Pt
4 4 4
direct
0.230 0.250 0.019
0.270 0.750 0.519
0.730 0.250 0.481
0.770 0.750 0.981
0.039 0.750 0.230
0.461 0.250 0.730
0.539 0.750 0.270
0.961 0.250 0.770
0.026 0.250 0.405
0.474 0.750 0.905
0.526 0.250 0.095
0.974 0.750 0.595
```

Computed properties:
energy relative to the elements, uncorrected = -1.00 eV/atom
E = -4.703 eV/atom
symmetry = Pnma, No. 62

---

Entry 12:
A geometry-optimized BaTe2Pt2 structure, computed with PBE-GGA.

Geometry as POSCAR:
```
BaTe2Pt2
1.0
-2.338 2.338 6.110
2.338 -2.338 6.110
2.338 2.338 -6.110
Ba Te Pt
1 2 2
direct
0.000 0.000 0.000
0.362 0.362 0.000
0.638 0.638 0.000
0.250 0.750 0.500
0.750 0.250 0.500
```

Computed properties:
energy relative to the elements, uncorrected = -0.63 eV/atom
E = -4.690 eV/atom
symmetry = I4/mmm, No. 139